# Nd7Sm12In (PBE, optimized geometry)
data_Nd7Sm12In
_symmetry_space_group_name_H-M 'P 1'
_symmetry_Int_Tables_number 1
_cell_length_a 8.889
_cell_length_b 8.889
_cell_length_c 8.889
_cell_angle_alpha 89.11
_cell_angle_beta 89.11
_cell_angle_gamma 89.11
loop_
_symmetry_equiv_pos_as_xyz
'x,y,z'
loop_
_atom_site_label
_atom_site_fract_x
_atom_site_fract_y
_atom_site_fract_z
Nd1 0.000 0.000 0.000
Nd2 0.123 0.266 0.712
Nd3 0.266 0.712 0.123
Nd4 0.288 0.877 0.734
Nd5 0.712 0.123 0.266
Nd6 0.734 0.288 0.877
Nd7 0.877 0.734 0.288
Sm1 0.037 0.377 0.158
Sm2 0.158 0.037 0.377
Sm3 0.165 0.613 0.495
Sm4 0.377 0.158 0.037
Sm5 0.387 0.505 0.835
Sm6 0.495 0.165 0.613
Sm7 0.505 0.835 0.387
Sm8 0.613 0.495 0.165
Sm9 0.623 0.842 0.963
Sm10 0.835 0.387 0.505
Sm11 0.842 0.963 0.623
Sm12 0.963 0.623 0.842
In1 0.500 0.500 0.500
# ΔE_f (eV/f.u.): 3.2
# Raw total energy (eV for the cell shown): -89.5
# Space-group type: No. 148

=====

# Li2ScTa (PBE, optimized geometry)
data_Li2ScTa
_symmetry_space_group_name_H-M 'P 1'
_symmetry_Int_Tables_number 1
_cell_length_a 5.214
_cell_length_b 5.214
_cell_length_c 5.490
_cell_angle_alpha 102.88
_cell_angle_beta 102.88
_cell_angle_gamma 31.10
loop_
_symmetry_equiv_pos_as_xyz
'x,y,z'
loop_
_atom_site_label
_atom_site_fract_x
_atom_site_fract_y
_atom_site_fract_z
Li1 0.000 0.000 0.000
Li2 0.732 0.732 0.227
Sc1 0.492 0.492 0.513
Ta1 0.244 0.244 0.730
# ΔE to the lowest computed polymorph (eV per formula unit): 0.97
# ΔE_f (eV/f.u.): 1.7
# Raw total energy (eV for the cell shown): -20.3
# Space-group type: No. 8